Record 1
# AcY2Zn PBE relaxed
data_AcY2Zn
_symmetry_space_group_name_H-M 'R 3 m'
_symmetry_Int_Tables_number 160
_symmetry_space_group_name_Hall 'R 3 -2"'
_cell_length_a 3.7722
_cell_length_b 3.7722
_cell_length_c 31.2052
_cell_angle_alpha 90.00
_cell_angle_beta 90.00
_cell_angle_gamma 120.00
loop_
_atom_site_label
_atom_site_type_symbol
_atom_site_fract_x
_atom_site_fract_y
_atom_site_fract_z
_atom_site_occupancy
Ac1 Ac 0.0000 0.0000 0.0000 1
Y1 Y 0.0000 0.0000 0.5650 1
Y2 Y 0.0000 0.0000 0.7664 1
Zn1 Zn 0.0000 0.0000 0.1654 1
# ρ (Mg/m³): 6.09
# ΔE to the lowest computed polymorph (meV per atom): 101
# DFT total energy (eV per atom): -4.616
# Crystal system: trigonal
# Formation energy from the elements (eV/atom): -0.038

Record 2
# AcY2Zn PBE relaxed
data_AcY2Zn
_symmetry_space_group_name_H-M 'P 4/m m m'
_symmetry_Int_Tables_number 123
_symmetry_space_group_name_Hall '-P 4 2'
_cell_length_a 5.5750
_cell_length_b 5.5750
_cell_length_c 3.8624
_cell_angle_alpha 90.00
_cell_angle_beta 90.00
_cell_angle_gamma 90.00
loop_
_atom_site_label
_atom_site_type_symbol
_atom_site_fract_x
_atom_site_fract_y
_atom_site_fract_z
_atom_site_occupancy
Ac1 Ac 0.0000 0.0000 0.0000 1
Y1 Y 0.0000 0.5000 0.5000 1
Zn1 Zn 0.5000 0.5000 0.0000 1
# ρ (Mg/m³): 6.50
# ΔE to the lowest computed polymorph (meV per atom): 262
# DFT total energy (eV per atom): -4.455
# Crystal system: tetragonal
# Formation energy from the elements (eV/atom): 0.122

Record 3
# AcY2Zn3 PBE relaxed
data_AcY2Zn3
_symmetry_space_group_name_H-M 'P 4/m m m'
_symmetry_Int_Tables_number 123
_symmetry_space_group_name_Hall '-P 4 2'
_cell_length_a 3.6918
_cell_length_b 3.6918
_cell_length_c 11.0594
_cell_angle_alpha 90.00
_cell_angle_beta 90.00
_cell_angle_gamma 90.00
loop_
_atom_site_label
_atom_site_type_symbol
_atom_site_fract_x
_atom_site_fract_y
_atom_site_fract_z
_atom_site_occupancy
Ac1 Ac 0.0000 0.0000 0.0000 1
Y1 Y 0.0000 0.0000 0.3423 1
Zn1 Zn 0.5000 0.5000 0.1968 1
Zn2 Zn 0.5000 0.5000 0.5000 1
# ρ (Mg/m³): 6.62
# DFT total energy (eV per atom): -3.773
# Crystal system: tetragonal
# Formation energy from the elements (eV/atom): -0.296

Record 4
# Ac5YZn6 PBE relaxed
data_Ac5YZn6
_symmetry_space_group_name_H-M 'C 1 2/m 1'
_symmetry_Int_Tables_number 12
_symmetry_space_group_name_Hall '-C 2y'
_cell_length_a 9.4304
_cell_length_b 16.3683
_cell_length_c 5.4429
_cell_angle_alpha 90.00
_cell_angle_beta 125.19
_cell_angle_gamma 90.00
loop_
_atom_site_label
_atom_site_type_symbol
_atom_site_fract_x
_atom_site_fract_y
_atom_site_fract_z
_atom_site_occupancy
Ac1 Ac 0.0000 0.0000 0.0000 1
Ac2 Ac 0.0000 0.1659 0.5000 1
Ac3 Ac 0.0000 0.3305 0.0000 1
Y1 Y 0.0000 0.5000 0.5000 1
Zn1 Zn 0.2257 0.5000 0.2253 1
Zn2 Zn 0.2377 0.3413 0.7377 1
# ρ (Mg/m³): 7.82
# DFT total energy (eV per atom): -3.137
# Crystal system: monoclinic
# Formation energy from the elements (eV/atom): -0.249

Record 5
# AcY2Zn6 PBE relaxed
data_AcY2Zn6
_symmetry_space_group_name_H-M 'P 6/m m m'
_symmetry_Int_Tables_number 191
_symmetry_space_group_name_Hall '-P 6 2'
_cell_length_a 7.9050
_cell_length_b 7.9050
_cell_length_c 3.6571
_cell_angle_alpha 90.00
_cell_angle_beta 90.00
_cell_angle_gamma 120.00
loop_
_atom_site_label
_atom_site_type_symbol
_atom_site_fract_x
_atom_site_fract_y
_atom_site_fract_z
_atom_site_occupancy
Ac1 Ac 0.0000 0.0000 0.0000 1
Y1 Y 0.3333 0.6667 0.0000 1
Zn1 Zn 0.0000 0.3416 0.5000 1
# ρ (Mg/m³): 6.69
# DFT total energy (eV per atom): -3.076
# Crystal system: hexagonal
# Formation energy from the elements (eV/atom): -0.333

Record 6
# AcYZn PBE relaxed
data_AcYZn
_symmetry_space_group_name_H-M 'P -6 m 2'
_symmetry_Int_Tables_number 187
_symmetry_space_group_name_Hall 'P -6 2'
_cell_length_a 5.2059
_cell_length_b 5.2059
_cell_length_c 4.0142
_cell_angle_alpha 90.00
_cell_angle_beta 90.00
_cell_angle_gamma 120.00
loop_
_atom_site_label
_atom_site_type_symbol
_atom_site_fract_x
_atom_site_fract_y
_atom_site_fract_z
_atom_site_occupancy
Ac1 Ac 0.0000 0.0000 0.0000 1
Y1 Y 0.6667 0.3333 0.5000 1
Zn1 Zn 0.3333 0.6667 0.5000 1
# ρ (Mg/m³): 6.72
# ΔE to the lowest computed polymorph (meV per atom): 141
# DFT total energy (eV per atom): -3.970
# Crystal system: hexagonal
# Formation energy from the elements (eV/atom): -0.021